YAgW2O8, optimized geometry, DFT PBE with a Hubbard U; total DFT energy (no corrections) = -88.42 eV for the cell shown; distance to the lowest polymorph of the same formula = 0.037 eV per atom; space-group type = P-1, No. 2; size of the total moment = 0.00 μB/atom
1.0
5.2397 0.0000 0.0000
0.0236 5.9473 0.0000
2.3541 2.2512 5.3484
Y Ag W O
1 1 2 8
Direct
0.0000 0.0000 0.0000 Y
0.5000 0.5000 0.0000 Ag
0.2453 0.6720 0.5079 W
0.7547 0.3280 0.4921 W
0.1380 0.4796 0.3100 O
0.2315 0.9412 0.2550 O
0.2359 0.7936 0.7392 O
0.3467 0.3241 0.6858 O
0.6533 0.6759 0.3142 O
0.7641 0.2064 0.2608 O
0.7685 0.0588 0.7450 O
0.8620 0.5204 0.6900 O